Density functional theory data (PBE+U) for a geometry-optimized HfCr2CdO8 structure.

Computed properties:
**N(E_F)**: 2.0 states/eV per cell
**Theoretical density**: 5.714 Mg/m³
**SG**: No. 119
**E_tot**: -7.194 eV/atom

Lattice parameters (Å, degrees): 5.844 5.844 5.844 106.12 106.12 116.40
Sites, in units of the cell vectors:
Hf 0.000 0.000 0.000
Cr 0.750 0.250 0.500
Cr 0.500 0.500 0.000
Cd 0.250 0.750 0.500
O 0.387 0.088 0.299
O 0.309 0.488 0.179
O 0.309 0.130 0.821
O 0.789 0.088 0.701
O 0.870 0.691 0.179
O 0.912 0.211 0.299
O 0.912 0.613 0.701
O 0.512 0.691 0.821